#a
Below is an optimized crystal structure of ZnCrCu3, with properties calculated at the PBE level.

Cell: 4.5746 4.5746 4.5746 Å, 90.00 90.00 90.00°
With the nearest neighbours (Å) after each atom.
Fractional coordinates of all 5 atoms:
Cu 0.5000 0.0000 0.0000  2 Cr 2.29
Cu 0.0000 0.5000 0.0000  2 Cr 2.29
Cu 0.0000 0.0000 0.5000  2 Cr 2.29
Cr 0.0000 0.0000 0.0000  6 Cu 2.29
Zn 0.5000 0.5000 0.5000  12 Cu 3.23

Values from the calculation:
Spin magnetization   4.2 μB/f.u.

---

#b
Below is an optimized crystal structure of ZnCrCu3, with properties calculated at the PBE level.

Cell: 4.3592 4.3592 4.3592 Å, 90.00 90.00 90.00°
With the nearest neighbours (Å) after each atom.
Fractional coordinates of all 5 atoms:
Cr 0.5000 0.5000 0.5000  12 Cu 3.08
Cu 0.0000 0.5000 0.0000  2 Zn 2.18
Cu 0.0000 0.0000 0.5000  2 Zn 2.18
Cu 0.5000 0.0000 0.0000  2 Zn 2.18
Zn 0.0000 0.0000 0.0000  6 Cu 2.18

Values from the calculation:
Spin magnetization   0.1 μB/f.u.

---

Stability comparison, relative energies in meV/atom: #a 0; #b 16

---

#a
Below is an optimized crystal structure of ZrCrCu2, with properties calculated at the PBE level.

Cell: 4.4277 4.4277 4.4277 Å, 60.00 60.00 60.00°
With the nearest neighbours (Å) after each atom.
Fractional coordinates of all 4 atoms:
Zr 0.2500 0.2500 0.2500  4 Cu 2.71, 4 Cr 2.71
Cu 0.7500 0.7500 0.7500  4 Cr 2.71, 4 Cu 2.71
Cu 0.0000 0.0000 0.0000  4 Cu 2.71, 4 Zr 2.71
Cr 0.5000 0.5000 0.5000  4 Zr 2.71, 4 Cu 2.71

Values from the calculation:
Spin magnetization   3.9 μB/f.u.

---

#b
Below is an optimized crystal structure of ZrCrCu2, with properties calculated at the PBE level.

Cell: 3.7185 3.7185 9.7574 Å, 79.02 79.02 90.00°
With the nearest neighbours (Å) after each atom.
Fractional coordinates of all 8 atoms:
Cu 0.8750 0.8436 0.7500  2 Cu 2.47, 2 Cr 2.65, 2 Zr 2.73
Cu 0.1564 0.6250 0.2500  2 Cu 2.47, 2 Cr 2.65, 2 Zr 2.73
Cu 0.3750 0.4064 0.7500  2 Cu 2.47, 2 Cr 2.65, 2 Zr 2.73
Cu 0.5936 0.1250 0.2500  2 Cu 2.47, 2 Cr 2.65, 2 Zr 2.73
Cr 0.2500 0.7500 0.5000  4 Zr 2.63, 4 Cu 2.65
Cr 0.5000 0.5000 0.0000  4 Zr 2.63, 4 Cu 2.65
Zr 0.0000 0.0000 0.0000  4 Cr 2.63, 4 Cu 2.73
Zr 0.7500 0.2500 0.5000  4 Cr 2.63, 4 Cu 2.73

Values from the calculation:
Spin magnetization   2.4 μB/f.u.

---

Stability comparison, relative energies in meV/atom: #a 0; #b 342

---

#a
Below is an optimized crystal structure of ZrCrCu2, with properties calculated at the PBE level.

Cell: 4.7867 4.7867 4.7867 Å, 131.33 131.34 71.28°
With the nearest neighbours (Å) after each atom.
Fractional coordinates of all 4 atoms:
Zr 0.7500 0.2500 0.5000  8 Cu 2.77, 4 Cr 2.79
Cu 0.0000 0.0000 0.0000  4 Zr 2.77, 4 Cr 2.77, 4 Cu 2.79
Cu 0.5000 0.5000 0.0000  4 Zr 2.77, 4 Cr 2.77, 4 Cu 2.79
Cr 0.2500 0.7500 0.5000  8 Cu 2.77, 4 Zr 2.79

Values from the calculation:
Spin magnetization   2.9 μB/f.u.

---

#b
Below is an optimized crystal structure of ZrCrCu2, with properties calculated at the PBE level.

Cell: 3.8743 3.8754 3.9849 Å, 90.00 90.00 90.00°
With the nearest neighbours (Å) after each atom.
Fractional coordinates of all 4 atoms:
Cu 0.5000 0.5000 0.0000  4 Cu 2.74, 4 Cr 2.78, 4 Zr 2.78
Cu 0.0000 0.0000 0.0000  4 Cu 2.74, 4 Zr 2.78, 4 Cr 2.78
Cr 0.0000 0.5000 0.5000  4 Zr 2.74, 8 Cu 2.78
Zr 0.5000 0.0000 0.5000  4 Cr 2.74, 8 Cu 2.78

Values from the calculation:
Spin magnetization   2.0 μB/f.u.

---

#c
Below is an optimized crystal structure of ZrCrCu2, with properties calculated at the PBE level.

Cell: 3.4587 2.9145 6.7894 Å, 64.49 90.00 90.00°
With the nearest neighbours (Å) after each atom.
Fractional coordinates of all 4 atoms:
Zr 0.5000 0.2500 0.2500  8 Cu 2.85-2.86, 2 Zr 2.91, 2 Cr 3.06
Cu 0.0000 0.0332 0.9659  4 Cr 2.62, 3 Cu 2.65-2.91, 4 Zr 2.85-2.86
Cu 0.0000 0.4668 0.5341  4 Cr 2.62, 3 Cu 2.65-2.91, 4 Zr 2.85-2.86
Cr 0.5000 0.7500 0.7500  8 Cu 2.62, 2 Cr 2.91

Values from the calculation:
Spin magnetization   3.4 μB/f.u.

---

Stability comparison, relative energies in meV/atom: #a 0; #b 22; #c 57

---

#a
Below is an optimized crystal structure of ZrCrCu2, with properties calculated at the PBE level.

Cell: 4.8816 4.8816 4.8816 Å, 133.15 133.07 68.48°
With the nearest neighbours (Å) after each atom.
Fractional coordinates of all 4 atoms:
Cr 0.2499 0.7499 0.5000  8 Cu 2.75-2.80, 4 Zr 2.80
Cu 0.9999 0.9999 0.0000  4 Zr 2.75, 4 Cu 2.80, 4 Cr 2.80
Cu 0.7501 0.2501 0.5000  4 Cr 2.75, 4 Cu 2.80, 4 Zr 2.80
Zr 0.5001 0.5001 0.0000  8 Cu 2.75-2.80, 4 Cr 2.80

Values from the calculation:
Spin magnetization   2.9 μB/f.u.

---

#b
Below is an optimized crystal structure of ZrCrCu2, with properties calculated at the PBE level.

Cell: 2.7695 2.7695 7.5933 Å, 90.00 90.00 91.78°
With the nearest neighbours (Å) after each atom.
Fractional coordinates of all 4 atoms:
Cu 0.5000 0.5000 0.2151  8 Cu 2.52-2.77
Cu 0.0000 0.0000 0.0016  8 Cu 2.52-2.77, 4 Cr 2.53-2.58
Cr 0.5000 0.5000 0.7848  4 Cu 2.53-2.58, 4 Cr 2.77
Zr 0.0000 0.0000 0.4985  4 Zr 2.77, 4 Cu 2.89-2.93, 4 Cr 2.91-2.95

Values from the calculation:
Spin magnetization   0.0 μB/f.u.

---

#c
Below is an optimized crystal structure of ZrCrCu2, with properties calculated at the PBE level.

Cell: 8.9972 8.9972 8.9972 Å, 18.23 18.23 18.23°
With the nearest neighbours (Å) after each atom.
Fractional coordinates of all 4 atoms:
Zr 0.2500 0.2500 0.2500  6 Zr 2.85, 6 Cu 2.91
Cu 0.4928 0.4928 0.4928  3 Cr 2.61, 6 Cu 2.85, 3 Zr 2.91
Cu 0.0072 0.0072 0.0072  3 Cr 2.61, 6 Cu 2.85, 3 Zr 2.91
Cr 0.7500 0.7500 0.7500  6 Cu 2.61, 6 Cr 2.85

Values from the calculation:
Spin magnetization   3.1 μB/f.u.

---

Stability comparison, relative energies in meV/atom: #a 0; #b 111; #c 257

---

#a
Below is an optimized crystal structure of ZrCrCu2, with properties calculated at the PBE level.

Cell: 3.2062 3.2038 5.9035 Å, 90.00 90.00 90.00°
With the nearest neighbours (Å) after each atom.
Fractional coordinates of all 4 atoms:
Cr 0.5000 0.5000 0.7789  5 Cu 2.57-2.64, 4 Zr 2.80
Cu 0.0000 0.0000 0.0067  4 Cu 2.58, 4 Cr 2.64
Cu 0.5000 0.5000 0.2150  1 Cr 2.57, 4 Cu 2.58, 4 Zr 2.82
Zr 0.0000 0.0000 0.4994  4 Cr 2.80, 6 Cu 2.82-2.99

Values from the calculation:
Spin magnetization   2.1 μB/f.u.

---

#b
Below is an optimized crystal structure of ZrCrCu2, with properties calculated at the PBE level.

Cell: 4.4601 4.4601 4.4601 Å, 60.00 60.00 60.00°
With the nearest neighbours (Å) after each atom.
Fractional coordinates of all 4 atoms:
Cu 0.7500 0.7500 0.7500  4 Zr 2.73, 4 Cr 2.73
Cu 0.2500 0.2500 0.2500  4 Zr 2.73, 4 Cr 2.73
Cr 0.0000 0.0000 0.0000  8 Cu 2.73
Zr 0.5000 0.5000 0.5000  8 Cu 2.73

Values from the calculation:
Spin magnetization   4.0 μB/f.u.

---

Stability comparison, relative energies in meV/atom: #a 5; #b 0

---

#a
Below is an optimized crystal structure of ZrCr2Cu2, with properties calculated at the PBE level.

Cell: 3.4659 3.4659 6.4775 Å, 74.48 74.48 90.00°
With the nearest neighbours (Å) after each atom.
Fractional coordinates of all 5 atoms:
Cr 0.2500 0.7500 0.5000  4 Cr 2.45, 4 Cu 2.50
Cr 0.7500 0.2500 0.5000  4 Cr 2.45, 4 Cu 2.50
Zr 0.0000 0.0000 0.0000  8 Cu 2.72
Cu 0.4007 0.4007 0.1987  1 Cu 2.38, 4 Cr 2.50
Cu 0.5993 0.5993 0.8013  1 Cu 2.38, 4 Cr 2.50

Values from the calculation:
Spin magnetization   0.0 μB/f.u.

---

#b
Below is an optimized crystal structure of ZrCr2Cu2, with properties calculated at the PBE level.

Cell: 3.8261 3.8261 5.7403 Å, 70.53 70.53 90.00°
With the nearest neighbours (Å) after each atom.
Fractional coordinates of all 5 atoms:
Cu 0.2500 0.7500 0.5000  4 Cr 2.47, 4 Cu 2.71
Cu 0.7500 0.2500 0.5000  4 Cr 2.47, 4 Cu 2.71
Zr 0.0000 0.0000 0.0000  8 Cr 2.87, 8 Cu 3.17
Cr 0.5954 0.5954 0.8093  1 Cr 1.93
Cr 0.4046 0.4046 0.1907  1 Cr 1.93

Values from the calculation:
Spin magnetization   0.0 μB/f.u.

---

Stability comparison, relative energies in meV/atom: #a 0; #b 5